Entry 1:
First-principles (PBE-GGA) data for crystalline SmMgGa at its relaxed geometry, as listed in the Open Quantum Materials Database.

Computed properties:
calculated volume: 314 Å³/cell
excess energy over the best structure of this formula in the dataset: 128 meV per atom
VASP energy: -3.468 eV per atom

Geometry as POSCAR:
```
SmMgGa
1.0
6.800 0.000 0.000
0.000 6.800 0.000
0.000 0.000 6.800
Sm Mg Ga
4 4 4
Direct
0.000 0.000 0.000
0.000 0.500 0.500
0.500 0.000 0.500
0.500 0.500 0.000
0.000 0.000 0.500
0.000 0.500 0.000
0.500 0.000 0.000
0.500 0.500 0.500
0.250 0.250 0.750
0.250 0.750 0.250
0.750 0.250 0.250
0.750 0.750 0.750
```

***

Entry 2:
First-principles (PBE-GGA) data for crystalline SmMgGa3 at its relaxed geometry, as listed in the Open Quantum Materials Database.

Computed properties:
calculated volume: 269 Å³/cell
VASP energy: -2.756 eV per atom

Geometry as POSCAR:
```
SmMgGa3
1.0
7.501 0.000 0.000
-3.751 6.496 0.000
0.000 0.000 5.526
Sm Mg Ga
2 2 6
Direct
0.000 0.000 0.250
0.000 0.000 0.750
0.333 0.667 0.250
0.667 0.333 0.750
0.217 0.434 0.750
0.217 0.783 0.750
0.434 0.217 0.250
0.566 0.783 0.750
0.783 0.217 0.250
0.783 0.566 0.250
```

***

Entry 3:
First-principles (PBE-GGA) data for crystalline Sm3Mg3TlGa2 at its relaxed geometry, as listed in the Open Quantum Materials Database.

Computed properties:
calculated volume: 222 Å³/cell
VASP energy: -3.474 eV per atom

Geometry as POSCAR:
```
Sm3Mg3TlGa2
1.0
7.464 0.000 0.000
-3.732 6.464 0.000
0.000 0.000 4.592
Sm Mg Tl Ga
3 3 1 2
Direct
0.000 0.567 0.000
0.433 0.433 0.000
0.567 0.000 0.000
0.000 0.252 0.500
0.252 0.000 0.500
0.748 0.748 0.500
0.000 0.000 0.000
0.333 0.667 0.500
0.667 0.333 0.500
```